# KTlRh2

A crystal of KTlRh2 relaxed with PBEsol (SCAN, Alexandria via LeMat-Bulk).

Calculated values
space-group type = Immm

Lattice parameters (Å, degrees): 3.080 5.206 5.697 117.19 105.68 90.00
Fractional coordinates of all 4 atoms:
K (0.000, 0.500, 0.000)
Rh (0.773, 0.773, 0.545)
Tl (0.500, 0.000, 0.000)
Rh (0.227, 0.227, 0.455)

=====

# KTlRh2

A crystal of KTlRh2 relaxed with PBEsol (SCAN, Alexandria via LeMat-Bulk).

Calculated values
space-group type = R-3m

Lattice parameters (Å, degrees): 3.064 3.064 9.625 80.84 80.84 60.00
Fractional coordinates of all 4 atoms:
Tl (0.500, 0.500, 0.500)
K (0.000, 0.000, 0.000)
Rh (0.240, 0.240, 0.281)
Rh (0.760, 0.760, 0.719)

=====

# K2TlRh

A crystal of K2TlRh relaxed with PBEsol (SCAN, Alexandria via LeMat-Bulk).

Calculated values
space-group type = Fm-3m

Lattice parameters (Å, degrees): 5.390 5.390 5.390 60.00 60.00 60.00
Fractional coordinates of all 4 atoms:
Rh (0.000, 0.000, 0.000)
K (0.750, 0.750, 0.750)
Tl (0.500, 0.500, 0.500)
K (0.250, 0.250, 0.250)

=====

# K2TlRh

A crystal of K2TlRh relaxed with PBEsol (SCAN, Alexandria via LeMat-Bulk).

Calculated values
space-group type = Imm2

Lattice parameters (Å, degrees): 4.091 5.604 6.279 116.50 109.01 90.00
Fractional coordinates of all 4 atoms:
Rh (0.542, 0.542, 0.084)
Tl (0.196, 0.696, 0.393)
K (0.781, 0.281, 0.561)
K (0.981, 0.981, 0.962)

=====

Number 1: DOS at the Fermi energy 0.879 states/eV/atom, ΔE_f 0.623 eV per atom. Number 2: DOS at the Fermi energy 0.570 states/eV/atom, ΔE_f 0.566 eV per atom. Number 3: DOS at the Fermi energy 0.432 states/eV/atom, ΔE_f 0.549 eV per atom. Number 4: DOS at the Fermi energy 0.305 states/eV/atom, ΔE_f 0.188 eV per atom.